# 1
A plane-wave DFT calculation with GGA-PBEsol was carried out for a geometry-optimized Na2Al2As3 structure.

- volume (Å³/cell) = 1258.45
- formation energy (eV/atom) = -0.471

Structure (POSCAR):
```
Na2Al2As3
1.0
6.677 0.000 0.000
0.000 13.077 0.029
0.000 -0.051 14.413
Na As Al
16 24 16
Cartesian
3.002 1.096 1.544
0.355 11.224 14.294
6.341 11.955 5.692
0.336 1.071 8.750
0.565 4.538 7.509
6.322 1.801 0.149
2.689 7.368 5.992
6.112 8.488 6.934
3.903 8.462 14.140
3.675 11.930 12.899
0.649 7.342 13.199
6.028 5.683 1.244
2.984 11.250 7.087
2.774 4.563 0.302
3.988 5.658 8.451
3.693 1.776 7.356
3.542 12.633 9.714
6.475 6.263 4.965
1.062 3.289 2.458
0.346 4.378 12.940
5.614 9.736 11.984
3.684 8.622 8.709
3.137 6.788 2.271
2.993 4.404 5.734
6.474 12.658 2.507
0.203 0.367 11.935
3.012 10.962 1.251
2.276 3.264 9.665
0.202 6.762 9.478
4.401 9.762 4.777
6.350 2.090 5.985
1.454 9.746 11.932
3.665 2.064 13.191
5.223 3.280 2.510
1.885 9.772 4.726
3.540 6.238 12.171
4.792 3.254 9.717
6.331 8.648 1.502
3.135 0.393 4.729
0.327 10.936 8.458
5.088 10.612 2.504
1.914 8.935 2.401
1.424 8.910 9.608
5.253 4.116 4.835
5.306 1.226 3.895
1.589 2.413 11.938
1.749 2.439 4.732
1.968 11.825 3.341
1.759 5.348 3.753
4.918 7.678 10.689
1.371 11.800 10.548
4.763 4.090 12.042
5.097 7.703 3.483
4.928 10.587 9.711
4.709 1.201 11.101
1.580 5.322 10.960
```

***

# 2
A plane-wave DFT calculation with GGA-PBEsol was carried out for a geometry-optimized Re4Os structure.

- volume (Å³/cell) = 82.36
- density of states at the Fermi level (states/eV per atom) = 1.331
- formation energy (eV/atom) = 1.078

Structure (POSCAR):
```
Re4Os
1.0
3.750 0.000 0.000
0.000 3.750 0.000
-1.875 -1.875 5.857
Re Os
4 1
Cartesian
1.875 1.875 1.205
1.875 0.000 2.928
0.000 0.000 4.652
0.000 1.875 2.928
0.000 0.000 0.000
```

***

# 3
A plane-wave DFT calculation with GGA-PBEsol was carried out for a geometry-optimized Tl2CrSe structure.

- volume (Å³/cell) = 97.61
- uncorrected formation energy (eV per atom) = 0.491
- density of states at the Fermi level (states/eV per atom) = 0.694
- excess energy over the best structure of this formula in the dataset (meV per atom) = 374

Structure (POSCAR):
```
Tl2CrSe
1.0
5.168 0.000 0.000
2.584 4.476 0.000
2.584 1.492 4.220
Cr Tl Se
1 2 1
Cartesian
0.000 0.000 0.000
2.584 1.492 1.055
7.752 4.476 3.165
5.168 2.984 2.110
```

***

# 4
A plane-wave DFT calculation with GGA-PBEsol was carried out for a geometry-optimized ZnCd3 structure.

- volume (Å³/cell) = 77.45
- density of states at the Fermi level (states/eV per atom) = 0.315
- formation energy (eV/atom) = 0.068

Structure (POSCAR):
```
ZnCd3
1.0
3.081 0.000 0.000
0.000 5.184 -0.062
0.000 -1.776 4.871
Cd Zn
3 1
Cartesian
1.540 -0.888 2.435
1.540 2.592 -0.031
0.000 0.000 0.000
0.000 1.704 2.404
```

***

# 5
A plane-wave DFT calculation with GGA-PBEsol was carried out for a geometry-optimized Y2In2Hg structure.

- volume (Å³/cell) = 251.05
- density of states at the Fermi level (states/eV per atom) = 0.448
- formation energy (eV/atom) = -0.498

Structure (POSCAR):
```
Y2In2Hg
1.0
4.666 0.000 0.000
0.000 7.335 0.000
0.000 0.000 7.335
In Y Hg
4 4 2
Cartesian
0.000 2.667 6.334
0.000 4.668 1.001
0.000 1.001 2.667
0.000 6.334 4.668
2.333 6.103 2.435
2.333 4.900 6.103
2.333 2.435 1.232
2.333 1.232 4.900
0.000 3.668 3.668
0.000 0.000 0.000
```

***

# 6
A plane-wave DFT calculation with GGA-PBEsol was carried out for a geometry-optimized IrSe3N structure.

- volume (Å³/cell) = 115.06
- uncorrected formation energy (eV per atom) = 1.592
- density of states at the Fermi level (states/eV per atom) = 1.193

Structure (POSCAR):
```
IrSe3N
1.0
-2.948 -3.698 1.134
3.817 -2.549 1.611
-0.631 1.866 4.447
Ir Se N
1 3 1
Cartesian
0.000 0.000 0.000
-0.315 0.933 2.223
-1.474 -1.849 0.567
1.908 -1.274 0.805
0.119 -2.190 3.596
```

***

# 7
A plane-wave DFT calculation with GGA-PBEsol was carried out for a geometry-optimized FeTc3Bi structure.

- volume (Å³/cell) = 86.45
- density of states at the Fermi level (states/eV per atom) = 1.353
- formation energy (eV/atom) = 1.173

Structure (POSCAR):
```
FeTc3Bi
1.0
-2.195 3.036 -2.349
-2.444 -3.192 -1.841
-2.960 0.384 3.262
Fe Bi Tc
1 1 3
Cartesian
0.000 0.000 0.000
-3.799 0.114 -0.464
-1.098 1.518 -1.175
-1.222 -1.596 -0.921
-1.480 0.192 1.631
```

***

# 8
A plane-wave DFT calculation with GGA-PBEsol was carried out for a geometry-optimized AlSb2Ir structure.

- volume (Å³/cell) = 80.46
- uncorrected formation energy (eV per atom) = -0.113
- density of states at the Fermi level (states/eV per atom) = 0.655

Structure (POSCAR):
```
AlSb2Ir
1.0
3.230 0.000 0.000
0.000 3.230 0.000
0.000 0.000 7.714
Al Ir Sb
1 1 2
Cartesian
0.000 0.000 4.249
1.615 1.615 5.446
0.000 0.000 7.202
1.615 1.615 2.387
```

***

# 9
A plane-wave DFT calculation with GGA-PBEsol was carried out for a geometry-optimized Nb2As2Pd structure.

- volume (Å³/cell) = 92.67
- density of states at the Fermi level (states/eV per atom) = 0.657
- formation energy (eV/atom) = -0.056

Structure (POSCAR):
```
Nb2As2Pd
1.0
-3.185 -1.291 2.495
2.116 -3.584 0.846
2.770 4.709 2.358
As Nb Pd
2 2 1
Cartesian
1.731 1.759 3.121
-0.031 -1.926 2.579
2.176 -0.657 2.438
-0.475 0.490 3.262
0.000 0.000 0.000
```

***

# 10
A plane-wave DFT calculation with GGA-PBEsol was carried out for a geometry-optimized Ho3Ir structure.

- volume (Å³/cell) = 401.15
- density of states at the Fermi level (states/eV per atom) = 0.959
- formation energy (eV/atom) = -0.575

Structure (POSCAR):
```
Ho3Ir
1.0
6.234 0.000 0.000
0.000 7.093 0.000
0.000 0.000 9.072
Ho Ir
12 4
Cartesian
1.076 1.260 0.558
2.041 4.806 3.979
2.312 6.858 6.804
1.076 1.260 3.979
3.921 0.235 2.268
5.158 5.833 5.094
5.158 5.833 8.515
0.804 3.311 6.804
4.192 2.287 8.515
4.192 2.287 5.094
5.429 3.782 2.268
2.041 4.806 0.558
0.294 6.268 2.268
3.411 4.371 6.804
2.823 2.722 2.268
5.940 0.825 6.804
```

***

# 11
A plane-wave DFT calculation with GGA-PBEsol was carried out for a geometry-optimized MnCu5 structure.

- volume (Å³/cell) = 69.58
- density of states at the Fermi level (states/eV per atom) = 0.456
- formation energy (eV/atom) = 0.119

Structure (POSCAR):
```
MnCu5
1.0
-1.954 -0.597 1.517
0.473 -4.017 -0.973
5.122 -0.437 4.291
Cu Mn
5 1
Cartesian
0.003 -0.001 0.004
2.745 -0.487 3.345
2.070 -2.333 1.747
0.406 -0.544 2.443
-0.261 -2.392 0.856
2.487 -2.879 4.204
```

***

# 12
A plane-wave DFT calculation with GGA-PBEsol was carried out for a geometry-optimized Na2VP2O8 structure.

- volume (Å³/cell) = 333.52
- uncorrected formation energy (eV per atom) = -2.241
- excess energy over the best structure of this formula in the dataset (meV per atom) = 33

Structure (POSCAR):
```
Na2VP2O8
1.0
4.904 0.000 0.000
0.000 8.247 0.000
0.000 0.000 8.247
O V P Na
16 2 4 4
Cartesian
4.102 2.379 4.764
1.374 1.057 5.180
4.175 4.123 0.000
4.102 5.868 3.483
1.390 0.000 0.000
4.102 7.607 1.745
1.390 4.123 4.123
4.102 6.502 7.607
1.374 5.180 7.190
4.102 3.483 2.379
1.374 3.067 1.057
4.175 0.000 4.123
1.374 7.190 3.067
4.102 4.764 5.868
4.102 0.640 6.502
4.102 1.745 0.640
4.695 4.123 4.123
4.695 0.000 0.000
4.780 1.069 5.193
4.780 7.178 3.054
4.780 5.193 7.178
4.780 3.054 1.069
2.497 1.442 2.682
2.497 5.565 1.442
2.497 6.805 5.565
2.497 2.682 6.805
```

***

> Which of these has the highest volume?

Na2Al2As3

***

> Among the records above, which one has the lowest volume?

MnCu5

***

> Among the records above, which one has the highest volume?

Na2Al2As3